Density functional theory data (GGA+U) for a geometry-optimized ScNiNO2 structure.

Cell: 3.698 3.698 3.700 Å, 90.00 90.00 90.00°
Each line ends with the local moment (μB).
Positions (direct):
1 N 0.000 0.000 0.500  -0.46
2 Sc 0.500 0.500 0.500  0.03
3 O 0.000 0.500 0.000  -0.15
4 O 0.500 0.000 0.000  -0.15
5 Ni 0.000 0.000 0.000  1.02

Computed properties:
* electronic total energy: -6.19 eV per atom
* space group: P4/mmm (123)